# 1
Compound: RbPaCoTe4
Source: the Alexandria database
Functional: PBE
Structure: relaxed

Computed properties:
Raw formation energy = -0.631 eV per atom
Energy = -4.94 eV per atom
Space-group type = No. 11

a b c (Å): 7.3427 6.3795 10.2625
angles (deg): 90.00 106.57 90.00
Fractional coordinates of all 14 atoms:
1 Rb 0.2280 0.2500 0.0446
2 Rb 0.7720 0.7500 0.9554
3 Pa 0.2734 0.2500 0.5535
4 Pa 0.7266 0.7500 0.4465
5 Co 0.2726 0.7500 0.3530
6 Co 0.7274 0.2500 0.6470
7 Te 0.0069 0.5024 0.6958
8 Te 0.0069 0.9976 0.6958
9 Te 0.4311 0.7500 0.6023
10 Te 0.4438 0.7500 0.1714
11 Te 0.5562 0.2500 0.8286
12 Te 0.5689 0.2500 0.3977
13 Te 0.9931 0.0024 0.3042
14 Te 0.9931 0.4976 0.3042



# 2
Compound: ZnGe3P
Source: the Alexandria database
Functional: PBE
Structure: relaxed

Computed properties:
Energy above the most stable polymorph in this dataset = 131 meV per atom
Energy = -3.30 eV per atom
E_form = 0.806 eV/atom
Space-group type = No. 221

a b c (Å): 4.7861 4.7861 4.7861
angles (deg): 90.00 90.00 90.00
Fractional coordinates of all 5 atoms:
1 Zn 0.0000 0.0000 0.0000
2 Ge 0.0000 0.0000 0.5000
3 Ge 0.0000 0.5000 0.0000
4 Ge 0.5000 0.0000 0.0000
5 P 0.5000 0.5000 0.5000



# 3
Compound: Y2ZnMo
Source: the Alexandria database
Functional: PBE
Structure: relaxed

Computed properties:
Energy = -6.04 eV per atom
E_form = 0.217 eV/atom
Space-group type = No. 119

a b c (Å): 4.3420 4.3420 9.2610
angles (deg): 90.00 90.00 90.00
Fractional coordinates of all 8 atoms:
1 Y 0.0000 0.0000 0.0000
2 Y 0.0000 0.5000 0.2500
3 Y 0.5000 0.0000 0.7500
4 Y 0.5000 0.5000 0.5000
5 Zn 0.0000 0.5000 0.7500
6 Zn 0.5000 0.0000 0.2500
7 Mo 0.0000 0.0000 0.5000
8 Mo 0.5000 0.5000 0.0000



# 4
Compound: LaAlRh3
Source: the Alexandria database
Functional: PBE
Structure: relaxed

Computed properties:
Energy above the most stable polymorph in this dataset = 1412 meV per atom
Energy = -5.16 eV per atom
E_form = 0.983 eV/atom
Space-group type = No. 221

a b c (Å): 4.9065 4.9065 4.9065
angles (deg): 90.00 90.00 90.00
Fractional coordinates of all 5 atoms:
1 La 0.0000 0.0000 0.0000
2 Al 0.5000 0.5000 0.5000
3 Rh 0.0000 0.0000 0.5000
4 Rh 0.0000 0.5000 0.0000
5 Rh 0.5000 0.0000 0.0000



# 5
Compound: BiPb2Au4
Source: the Alexandria database
Functional: PBE
Structure: relaxed

Computed properties:
Energy = -3.50 eV per atom
E_form = -0.018 eV/atom
Space-group type = No. 71

a b c (Å): 3.7093 4.5480 19.9898
angles (deg): 90.00 90.00 90.00
Fractional coordinates of all 14 atoms:
1 Bi 0.0000 0.0000 0.0000
2 Bi 0.5000 0.5000 0.5000
3 Pb 0.0000 0.5000 0.1919
4 Pb 0.0000 0.5000 0.8081
5 Pb 0.5000 0.0000 0.3081
6 Pb 0.5000 0.0000 0.6919
7 Au 0.0000 0.0000 0.4319
8 Au 0.0000 0.0000 0.5681
9 Au 0.0000 0.5000 0.3469
10 Au 0.0000 0.5000 0.6531
11 Au 0.5000 0.0000 0.1531
12 Au 0.5000 0.0000 0.8469
13 Au 0.5000 0.5000 0.0681
14 Au 0.5000 0.5000 0.9319



# 6
Compound: Be2SbS
Source: the Alexandria database
Functional: PBE
Structure: relaxed

Computed properties:
Raw formation energy = -0.246 eV per atom
Energy above the most stable polymorph in this dataset = 0 meV per atom
Energy = -4.17 eV per atom
Space-group type = No. 122

a b c (Å): 5.3510 5.3510 10.1790
angles (deg): 90.00 90.00 90.00
Fractional coordinates of all 16 atoms:
1 Be 0.1918 0.2500 0.1250
2 Be 0.2500 0.6918 0.3750
3 Be 0.2500 0.8082 0.8750
4 Be 0.3082 0.2500 0.6250
5 Be 0.6918 0.7500 0.6250
6 Be 0.7500 0.1918 0.8750
7 Be 0.7500 0.3082 0.3750
8 Be 0.8082 0.7500 0.1250
9 Sb 0.0000 0.0000 0.5000
10 Sb 0.0000 0.5000 0.7500
11 Sb 0.5000 0.0000 0.2500
12 Sb 0.5000 0.5000 0.0000
13 S 0.0000 0.0000 0.0000
14 S 0.0000 0.5000 0.2500
15 S 0.5000 0.0000 0.7500
16 S 0.5000 0.5000 0.5000



# 7
Compound: MgBeIn2
Source: the Alexandria database
Functional: PBE
Structure: relaxed

Computed properties:
Energy above the most stable polymorph in this dataset = 145 meV per atom
Energy = -2.33 eV per atom
E_form = 0.374 eV/atom
Space-group type = No. 122

a b c (Å): 4.4725 4.4725 18.0676
angles (deg): 90.00 90.00 90.00
Fractional coordinates of all 16 atoms:
1 Mg 0.0000 0.0000 0.0000
2 Mg 0.0000 0.5000 0.2500
3 Mg 0.5000 0.0000 0.7500
4 Mg 0.5000 0.5000 0.5000
5 Be 0.0000 0.0000 0.5000
6 Be 0.0000 0.5000 0.7500
7 Be 0.5000 0.0000 0.2500
8 Be 0.5000 0.5000 0.0000
9 In 0.2212 0.2500 0.6250
10 In 0.2500 0.7212 0.8750
11 In 0.2500 0.7788 0.3750
12 In 0.2788 0.2500 0.1250
13 In 0.7212 0.7500 0.1250
14 In 0.7500 0.2212 0.3750
15 In 0.7500 0.2788 0.8750
16 In 0.7788 0.7500 0.6250



# 8
Compound: Ag2TeBr4
Source: the Alexandria database
Functional: PBE
Structure: relaxed

Computed properties:
Raw formation energy = -0.152 eV per atom
Energy = -2.37 eV per atom
Space-group type = No. 121

a b c (Å): 7.2123 7.2123 7.7987
angles (deg): 90.00 90.00 90.00
Fractional coordinates of all 14 atoms:
1 Ag 0.0000 0.5000 0.2500
2 Ag 0.0000 0.5000 0.7500
3 Ag 0.5000 0.0000 0.2500
4 Ag 0.5000 0.0000 0.7500
5 Te 0.0000 0.0000 0.0000
6 Te 0.5000 0.5000 0.5000
7 Br 0.2332 0.2332 0.5798
8 Br 0.2332 0.7668 0.4202
9 Br 0.2668 0.2668 0.0798
10 Br 0.2668 0.7332 0.9202
11 Br 0.7332 0.2668 0.9202
12 Br 0.7332 0.7332 0.0798
13 Br 0.7668 0.2332 0.4202
14 Br 0.7668 0.7668 0.5798



# 9
Compound: MgMn6Ge6
Source: the Alexandria database
Functional: PBE
Structure: relaxed

Computed properties:
Energy = -6.65 eV per atom
E_form = -0.162 eV/atom
Space-group type = No. 71

a b c (Å): 6.5442 6.5442 6.5442
angles (deg): 133.55 104.29 93.68
Fractional coordinates of all 13 atoms:
1 Mg 0.0000 0.0000 0.0000
2 Mn 0.0000 0.0000 0.5000
3 Mn 0.0000 0.5000 0.0000
4 Mn 0.2518 0.5000 0.7518
5 Mn 0.5000 0.0000 0.0000
6 Mn 0.5000 0.5000 0.5000
7 Mn 0.7482 0.5000 0.2482
8 Ge 0.1670 0.6670 0.5000
9 Ge 0.3334 0.3334 0.0000
10 Ge 0.3365 0.0000 0.3365
11 Ge 0.6635 0.0000 0.6635
12 Ge 0.6666 0.6666 0.0000
13 Ge 0.8330 0.3330 0.5000



# 10
Compound: Na3Pu3MnS8
Source: the Alexandria database
Functional: PBE
Structure: relaxed

Computed properties:
Raw formation energy = -1.334 eV per atom
Energy = -7.28 eV per atom
Space-group type = No. 12

a b c (Å): 7.8519 7.8519 8.0641
angles (deg): 119.19 119.19 59.96
Fractional coordinates of all 15 atoms:
1 Na 0.0000 0.0000 0.0000
2 Na 0.0000 0.5000 0.0000
3 Na 0.5000 0.0000 0.0000
4 Pu 0.0000 0.5000 0.5000
5 Pu 0.5000 0.0000 0.5000
6 Pu 0.5000 0.5000 0.5000
7 Mn 0.0000 0.0000 0.5000
8 S 0.2262 0.2262 0.7089
9 S 0.2260 0.7569 0.7089
10 S 0.2431 0.7740 0.2911
11 S 0.2573 0.2573 0.2721
12 S 0.7427 0.7427 0.7279
13 S 0.7569 0.2260 0.7089
14 S 0.7740 0.2431 0.2911
15 S 0.7738 0.7738 0.2911